The following is a PBE-GGA calculation of a relaxed HoScPb2 crystal, from Alexandria via LeMat-Bulk.

Summary:
Total energy, eV/atom: -4.850
Energy of formation, eV/atom: -0.2683

Unit cell a=6.3082 b=8.5248 c=8.0641 alpha=90.00 beta=90.00 gamma=90.00
Last column: nearest neighbours and their distance in Å.
Element x y z (fractional)
1 Ho 0.0683 0.6875 0.5000  7 Pb 3.15-3.45, 4 Sc 3.37-3.45
2 Ho 0.5683 0.3125 0.5000  7 Pb 3.15-3.45, 4 Sc 3.37-3.45
3 Ho 0.5683 0.8125 0.0000  7 Pb 3.15-3.45, 4 Sc 3.37-3.45
4 Ho 0.0683 0.1875 0.0000  7 Pb 3.15-3.45, 4 Sc 3.37-3.45
5 Sc 0.8182 0.5000 0.8124  3 Pb 3.03-3.16, 2 Ho 3.37
6 Sc 0.3182 0.0000 0.3124  3 Pb 3.03-3.16, 2 Ho 3.37
7 Sc 0.8182 0.0000 0.6876  3 Pb 3.03-3.16, 2 Ho 3.37
8 Sc 0.3182 0.5000 0.1876  3 Pb 3.03-3.16, 2 Ho 3.37
9 Pb 0.5682 0.1938 0.0002  3 Ho 3.15-3.25, 4 Sc 3.40, 4 Pb 3.40
10 Pb 0.5682 0.6938 0.4998  3 Ho 3.15-3.25, 4 Sc 3.40, 4 Pb 3.40
11 Pb 0.0682 0.8062 0.9998  3 Ho 3.15-3.25, 4 Sc 3.40, 4 Pb 3.40
12 Pb 0.0682 0.3062 0.5002  3 Ho 3.15-3.25, 4 Sc 3.40, 4 Pb 3.40
13 Pb 0.8184 0.5001 0.1876  3 Sc 3.03-3.16, 2 Ho 3.37
14 Pb 0.3184 0.4999 0.8124  3 Sc 3.03-3.16, 2 Ho 3.37
15 Pb 0.3184 0.9999 0.6876  3 Sc 3.03-3.16, 2 Ho 3.37
16 Pb 0.8184 0.0001 0.3124  3 Sc 3.03-3.16, 2 Ho 3.37



The following is a PBE-GGA calculation of a relaxed V12ZnGe6 crystal, from Alexandria via LeMat-Bulk.

Summary:
Total energy, eV/atom: -7.378
Energy of formation, eV/atom: -0.0942

Unit cell a=6.4471 b=6.4471 c=6.4471 alpha=90.38 beta=90.38 gamma=90.38
Last column: nearest neighbours and their distance in Å.
Element x y z (fractional)
1 V 0.8100 0.5219 0.4300  4 Ge 2.52-2.65, 4 V 2.61-2.65
2 V 0.4300 0.8100 0.5219  4 Ge 2.52-2.65, 4 V 2.61-2.65
3 V 0.5219 0.4300 0.8100  4 Ge 2.52-2.65, 4 V 2.61-2.65
4 V 0.1900 0.4781 0.5700  4 Ge 2.52-2.65, 4 V 2.61-2.65
5 V 0.5700 0.1900 0.4781  4 Ge 2.52-2.65, 4 V 2.61-2.65
6 V 0.4781 0.5700 0.1900  4 Ge 2.52-2.65, 4 V 2.61-2.65
7 V 0.0645 0.1388 0.3831  4 V 2.49-2.64, 3 Ge 2.62-2.71, 1 Zn 2.65
8 V 0.8612 0.6169 0.9355  4 V 2.49-2.64, 3 Ge 2.62-2.71, 1 Zn 2.65
9 V 0.6169 0.9355 0.8612  4 V 2.49-2.64, 3 Ge 2.62-2.71, 1 Zn 2.65
10 V 0.9355 0.8612 0.6169  4 V 2.49-2.64, 3 Ge 2.62-2.71, 1 Zn 2.65
11 V 0.1388 0.3831 0.0645  4 V 2.49-2.64, 3 Ge 2.62-2.71, 1 Zn 2.65
12 V 0.3831 0.0645 0.1388  4 V 2.49-2.64, 3 Ge 2.62-2.71, 1 Zn 2.65
13 Zn 0.0000 0.0000 0.0000  6 Ge 2.63, 6 V 2.65
14 Ge 0.7179 0.8726 0.2642  7 V 2.52-2.71, 1 Zn 2.63, 2 Ge 2.79
15 Ge 0.7358 0.2821 0.1274  7 V 2.52-2.71, 1 Zn 2.63, 2 Ge 2.79
16 Ge 0.1274 0.7358 0.2821  7 V 2.52-2.71, 1 Zn 2.63, 2 Ge 2.79
17 Ge 0.2821 0.1274 0.7358  7 V 2.52-2.71, 1 Zn 2.63, 2 Ge 2.79
18 Ge 0.2642 0.7179 0.8726  7 V 2.52-2.71, 1 Zn 2.63, 2 Ge 2.79
19 Ge 0.8726 0.2642 0.7179  7 V 2.52-2.71, 1 Zn 2.63, 2 Ge 2.79



The following is a PBE-GGA calculation of a relaxed Na3HfAl crystal, from Alexandria via LeMat-Bulk.

Summary:
Total energy, eV/atom: -2.326
Energy of formation, eV/atom: 1.2047

Unit cell a=5.4522 b=5.4522 c=5.4522 alpha=90.00 beta=90.00 gamma=90.00
Last column: nearest neighbours and their distance in Å.
Element x y z (fractional)
1 Na 0.0000 0.5000 0.0000  2 Al 2.73
2 Na 0.0000 0.0000 0.5000  2 Al 2.73
3 Na 0.5000 0.0000 0.0000  2 Al 2.73
4 Hf 0.5000 0.5000 0.5000  12 Na 3.86
5 Al 0.0000 0.0000 0.0000  6 Na 2.73



The following is a PBE-GGA calculation of a relaxed RbBaReO4 crystal, from Alexandria via LeMat-Bulk.

Summary:
Formation energy from raw total energies, meV/atom: -1367
Total energy, eV/atom: -6.392

Unit cell a=7.3819 b=7.3819 c=7.3819 alpha=60.00 beta=60.00 gamma=60.00
Last column: nearest neighbours and their distance in Å.
Element x y z (fractional)
1 Rb 0.5000 0.5000 0.5000  4 O 2.75
2 Ba 0.7500 0.7500 0.7500  12 O 4.44, 4 Rb 4.52
3 Re 0.2500 0.2500 0.2500  4 O 1.77
4 O 0.3478 0.3478 0.9565  1 Re 1.77
5 O 0.3478 0.3478 0.3478  1 Re 1.77
6 O 0.3478 0.9565 0.3478  1 Re 1.77
7 O 0.9565 0.3478 0.3478  1 Re 1.77



The following is a PBE-GGA calculation of a relaxed CeEr2F8 crystal, from Alexandria via LeMat-Bulk.

Summary:
Formation energy from raw total energies, meV/atom: -3878
Total energy, eV/atom: -6.608

Unit cell a=4.2236 b=6.2345 c=6.2345 alpha=112.61 beta=97.12 gamma=97.12
Last column: nearest neighbours and their distance in Å.
Element x y z (fractional)
1 Ce 0.5000 0.0000 0.0000  12 F 2.59-2.85
2 Er 0.0000 0.3216 0.6784  8 F 2.24-2.31
3 Er 0.0000 0.6784 0.3216  8 F 2.24-2.31
4 F 0.9278 0.9466 0.6760  2 Er 2.29-2.31, 1 F 2.54
5 F 0.9278 0.6760 0.9466  2 Er 2.29-2.31, 1 F 2.54
6 F 0.2885 0.6158 0.6158  2 Er 2.26
7 F 0.5000 0.7506 0.2494  2 Er 2.24
8 F 0.5000 0.2494 0.7506  2 Er 2.24
9 F 0.7115 0.3842 0.3842  2 Er 2.26
10 F 0.0722 0.3240 0.0534  2 Er 2.29-2.31, 1 F 2.54
11 F 0.0722 0.0534 0.3240  2 Er 2.29-2.31, 1 F 2.54



The following is a PBE-GGA calculation of a relaxed TbYTm4 crystal, from Alexandria via LeMat-Bulk.

Summary:
Total energy, eV/atom: -4.752
Energy of formation, eV/atom: 0.0779

Unit cell a=3.4576 b=9.5970 c=11.6188 alpha=145.76 beta=107.31 gamma=90.00
Last column: nearest neighbours and their distance in Å.
Element x y z (fractional)
1 Tb 0.4999 0.0000 0.5000  2 Tb 3.46, 12 Tm 3.63-3.64
2 Y 0.0001 0.0000 0.0000  2 Y 3.46, 12 Tm 3.63-3.64
3 Tm 0.9994 0.6666 0.4999  5 Tm 3.20-3.46
4 Tm 0.0009 0.3334 0.5000  5 Tm 3.20-3.46
5 Tm 0.4986 0.6665 0.9997  5 Tm 3.20-3.46
6 Tm 0.5011 0.3335 0.0003  5 Tm 3.20-3.46



The following is a PBE-GGA calculation of a relaxed CeErV4 crystal, from Alexandria via LeMat-Bulk.

Summary:
Total energy, eV/atom: -7.564
Energy of formation, eV/atom: 0.2641

Unit cell a=5.3221 b=5.3221 c=5.3221 alpha=60.00 beta=60.00 gamma=60.00
Last column: nearest neighbours and their distance in Å.
Element x y z (fractional)
1 V 0.6235 0.6235 0.1294  6 V 2.63-2.69
2 V 0.6235 0.1294 0.6235  6 V 2.63-2.69
3 V 0.6235 0.6235 0.6235  6 V 2.63-2.69
4 V 0.1294 0.6235 0.6235  6 V 2.63-2.69
5 Ce 0.2500 0.2500 0.2500  12 V 3.12, 4 Er 3.26
6 Er 0.0000 0.0000 0.0000  12 V 3.12, 4 Ce 3.26



The following is a PBE-GGA calculation of a relaxed La4ErTm4 crystal, from Alexandria via LeMat-Bulk.

Summary:
Total energy, eV/atom: -3.867
Energy of formation, eV/atom: 0.8171

Unit cell a=6.2178 b=6.2178 c=9.8807 alpha=108.34 beta=108.34 gamma=90.00
Last column: nearest neighbours and their distance in Å.
Element x y z (fractional)
1 La 0.5000 0.0000 0.0000  2 Er 3.11, 4 Tm 3.45
2 La 0.0000 0.5000 0.0000  2 Er 3.11, 4 Tm 3.45
3 La 0.1880 0.1880 0.3761  4 Tm 2.98-3.32, 1 Er 3.33
4 La 0.8120 0.8120 0.6239  4 Tm 2.98-3.32, 1 Er 3.33
5 Er 0.0000 0.0000 0.0000  6 La 3.11-3.33
6 Tm 0.5271 0.5271 0.7096  2 La 2.98-3.32, 1 Tm 3.03
7 Tm 0.4729 0.8175 0.2904  2 La 2.98-3.32, 1 Tm 3.03
8 Tm 0.1825 0.1825 0.7096  2 La 2.98-3.32, 1 Tm 3.03
9 Tm 0.8175 0.4729 0.2904  2 La 2.98-3.32, 1 Tm 3.03